Record 1
# CaSb2Br (GGA-PBEsol, relaxed)
# ΔE_f (raw) (eV per atom): -0.75
# Energy above the most stable polymorph in this dataset (eV per formula unit): 0.00
# Total moment (μB per formula unit): 0.0
data_CaSb2Br
_chemical_formula_sum 'Ca1 Sb2 Br1'
_space_group_name_H-M_alt 'P 1'
_space_group_IT_number 1
_space_group_name_Hall 'P 1'
_cell_length_a 4.200
_cell_length_b 4.200
_cell_length_c 7.029
_cell_angle_alpha 107.38
_cell_angle_beta 107.38
_cell_angle_gamma 90.00
loop_
_atom_site_label
_atom_site_type_symbol
_atom_site_fract_x
_atom_site_fract_y
_atom_site_fract_z
_atom_site_occupancy
Sb1 Sb 0.750 0.250 0.500 1
Sb2 Sb 0.250 0.750 0.500 1
Ca1 Ca 0.000 0.000 0.000 1
Br1 Br 0.500 0.500 0.000 1

Record 2
# BaSr3Co4O12 (GGA-PBEsol, relaxed)
# ΔE_f (raw) (eV per atom): -1.85
# Total moment (μB per formula unit): 4.0
data_BaSr3Co4O12
_chemical_formula_sum 'Ba1 Sr3 Co4 O12'
_space_group_name_H-M_alt 'P 1'
_space_group_IT_number 1
_space_group_name_Hall 'P 1'
_cell_length_a 4.672
_cell_length_b 5.428
_cell_length_c 9.393
_cell_angle_alpha 90.00
_cell_angle_beta 90.00
_cell_angle_gamma 90.00
loop_
_atom_site_label
_atom_site_type_symbol
_atom_site_fract_x
_atom_site_fract_y
_atom_site_fract_z
_atom_site_occupancy
Ba1 Ba 0.000 0.500 0.167 1
Sr1 Sr 0.000 0.000 0.667 1
Sr2 Sr 0.500 0.000 0.337 1
Sr3 Sr 0.500 0.500 0.831 1
Co1 Co 0.249 0.500 0.504 1
Co2 Co 0.751 0.500 0.504 1
Co3 Co 0.249 0.000 0.995 1
Co4 Co 0.751 0.000 0.995 1
O1 O 0.500 0.500 0.350 1
O2 O 0.500 0.000 0.842 1
O3 O 0.000 0.000 0.150 1
O4 O 0.000 0.500 0.659 1
O5 O 0.500 0.770 0.073 1
O6 O 0.500 0.230 0.073 1
O7 O 0.500 0.268 0.580 1
O8 O 0.500 0.732 0.580 1
O9 O 0.000 0.735 0.430 1
O10 O 0.000 0.265 0.430 1
O11 O 0.000 0.229 0.916 1
O12 O 0.000 0.771 0.916 1

Record 3
# ZnRePI2 (GGA-PBEsol, relaxed)
# ΔE_f (raw) (eV per atom): 1.53
# Total moment (μB per formula unit): 5.2
data_ZnRePI2
_chemical_formula_sum 'Zn1 Re1 P1 I2'
_space_group_name_H-M_alt 'P 1'
_space_group_IT_number 1
_space_group_name_Hall 'P 1'
_cell_length_a 4.566
_cell_length_b 5.546
_cell_length_c 5.546
_cell_angle_alpha 90.00
_cell_angle_beta 90.00
_cell_angle_gamma 90.00
loop_
_atom_site_label
_atom_site_type_symbol
_atom_site_fract_x
_atom_site_fract_y
_atom_site_fract_z
_atom_site_occupancy
I1 I 0.000 0.000 0.500 1
I2 I 0.000 0.500 0.000 1
Re1 Re 0.500 0.500 0.500 1
Zn1 Zn 0.500 0.000 0.000 1
P1 P 0.000 0.000 0.000 1

Record 4
# BaGa2Pt2 (GGA-PBEsol, relaxed)
# Total moment (μB per formula unit): 0.0
# DFT formation energy (meV per atom): -746
data_BaGa2Pt2
_chemical_formula_sum 'Ba1 Ga2 Pt2'
_space_group_name_H-M_alt 'P 1'
_space_group_IT_number 1
_space_group_name_Hall 'P 1'
_cell_length_a 4.387
_cell_length_b 4.387
_cell_length_c 6.235
_cell_angle_alpha 110.60
_cell_angle_beta 110.60
_cell_angle_gamma 90.00
loop_
_atom_site_label
_atom_site_type_symbol
_atom_site_fract_x
_atom_site_fract_y
_atom_site_fract_z
_atom_site_occupancy
Ga1 Ga 0.250 0.750 0.500 1
Ga2 Ga 0.750 0.250 0.500 1
Ba1 Ba 0.000 0.000 0.000 1
Pt1 Pt 0.370 0.370 0.741 1
Pt2 Pt 0.630 0.630 0.259 1